Record 1
Here is a relaxed HgC3 crystal from Alexandria via LeMat-Bulk. Energies are from GGA-PBE.

Output
- DFT formation energy (eV per atom) = 3.614
- V (Å³/cell) = 52.1
- VASP energy (eV per atom) = -3.379

abc: 4.134 4.134 4.134
angles: 103.23 103.23 122.84
Fractional positions:
Hg1 0.000 0.000 0.000
C1 0.250 0.750 0.500
C2 0.500 0.500 0.000
C3 0.750 0.250 0.500

=====

Record 2
Here is a relaxed Ca2SmIn crystal from Alexandria via LeMat-Bulk. Energies are from GGA-PBE.

Output
- DFT formation energy (eV per atom) = -0.235
- V (Å³/cell) = 126.9
- VASP energy (eV per atom) = -3.100

abc: 4.901 4.901 5.284
angles: 90.00 90.00 90.00
Fractional positions:
Ca1 0.000 0.500 0.000
Ca2 0.500 0.000 0.000
Sm1 0.000 0.000 0.500
In1 0.500 0.500 0.500

=====

Record 3
Here is a relaxed Pm3Nd4Pt2 crystal from Alexandria via LeMat-Bulk. Energies are from GGA-PBE.

Output
- DFT formation energy (eV per atom) = -0.495
- V (Å³/cell) = 286.2
- VASP energy (eV per atom) = -5.540

abc: 8.794 8.794 9.340
angles: 111.88 111.88 25.38
Fractional positions:
Pm1 0.000 0.000 0.000
Pm2 0.071 0.071 0.682
Pm3 0.929 0.929 0.318
Nd1 0.230 0.230 0.159
Nd2 0.371 0.371 0.615
Nd3 0.629 0.629 0.385
Nd4 0.770 0.770 0.841
Pt1 0.381 0.381 0.061
Pt2 0.619 0.619 0.939

=====

Record 4
Here is a relaxed ScAlPb2 crystal from Alexandria via LeMat-Bulk. Energies are from GGA-PBE.

Output
- DFT formation energy (eV per atom) = 0.043
- V (Å³/cell) = 101.6
- VASP energy (eV per atom) = -4.330

abc: 3.401 3.401 8.784
angles: 90.00 90.00 90.11
Fractional positions:
Sc1 0.000 0.000 0.000
Al1 0.000 0.000 0.500
Pb1 0.500 0.500 0.248
Pb2 0.500 0.500 0.752

=====

Record 5
Here is a relaxed V2Co6B crystal from Alexandria via LeMat-Bulk. Energies are from GGA-PBE.

Output
- DFT formation energy (eV per atom) = 0.100
- V (Å³/cell) = 99.7
- VASP energy (eV per atom) = -7.406

abc: 6.796 6.796 2.604
angles: 101.03 101.03 58.18
Fractional positions:
V1 0.134 0.134 0.136
V2 0.866 0.866 0.864
Co1 0.148 0.504 0.326
Co2 0.276 0.724 0.000
Co3 0.496 0.852 0.674
Co4 0.504 0.148 0.326
Co5 0.724 0.276 0.000
Co6 0.852 0.496 0.674
B1 0.500 0.500 0.500

=====

Record 6
Here is a relaxed BaV3Hg crystal from Alexandria via LeMat-Bulk. Energies are from GGA-PBE.

Output
- DFT formation energy (eV per atom) = 2.285
- V (Å³/cell) = 109.9
- VASP energy (eV per atom) = -3.631

abc: 4.791 4.791 4.791
angles: 90.00 90.00 90.00
Fractional positions:
Ba1 0.000 0.000 0.000
V1 0.000 0.000 0.500
V2 0.000 0.500 0.000
V3 0.500 0.000 0.000
Hg1 0.500 0.500 0.500

=====

Record 7
Here is a relaxed Dy3Al2Ga7 crystal from Alexandria via LeMat-Bulk. Energies are from GGA-PBE.

Output
- DFT formation energy (eV per atom) = -0.467
- V (Å³/cell) = 239.9
- VASP energy (eV per atom) = -4.007

abc: 13.867 13.867 4.150
angles: 90.00 90.00 162.50
Fractional positions:
Dy1 0.000 0.000 0.000
Dy2 0.181 0.819 0.000
Dy3 0.819 0.181 0.000
Al1 0.360 0.640 0.500
Al2 0.640 0.360 0.500
Ga1 0.083 0.917 0.500
Ga2 0.272 0.728 0.500
Ga3 0.418 0.582 0.000
Ga4 0.500 0.500 0.500
Ga5 0.582 0.418 0.000
Ga6 0.728 0.272 0.500
Ga7 0.917 0.083 0.500

=====

Record 8
Here is a relaxed La2Tb3DyHo6 crystal from Alexandria via LeMat-Bulk. Energies are from GGA-PBE.

Output
- DFT formation energy (eV per atom) = 0.020
- V (Å³/cell) = 386.3
- VASP energy (eV per atom) = -4.631

abc: 6.195 6.195 11.804
angles: 95.00 95.00 119.98
Fractional positions:
La1 0.167 0.833 0.000
La2 0.833 0.167 0.000
Tb1 0.000 0.000 0.500
Tb2 0.334 0.666 0.500
Tb3 0.666 0.334 0.500
Dy1 0.500 0.500 0.000
Ho1 0.083 0.415 0.746
Ho2 0.253 0.253 0.254
Ho3 0.415 0.083 0.746
Ho4 0.585 0.917 0.254
Ho5 0.747 0.747 0.746
Ho6 0.917 0.585 0.254

=====

Record 9
Here is a relaxed Na3Li2Tl3 crystal from Alexandria via LeMat-Bulk. Energies are from GGA-PBE.

Output
- DFT formation energy (eV per atom) = -0.113
- V (Å³/cell) = 201.4
- VASP energy (eV per atom) = -1.974

abc: 8.203 8.203 8.203
angles: 142.81 142.57 53.79
Fractional positions:
Na1 0.000 0.000 0.000
Na2 0.367 0.867 0.500
Na3 0.633 0.133 0.500
Li1 0.256 0.256 0.000
Li2 0.744 0.744 0.000
Tl1 0.140 0.640 0.500
Tl2 0.500 0.500 0.000
Tl3 0.860 0.360 0.500

=====

Record 10
Here is a relaxed VCdNi crystal from Alexandria via LeMat-Bulk. Energies are from GGA-PBE.

Output
- DFT formation energy (eV per atom) = 0.430
- V (Å³/cell) = 108.1
- VASP energy (eV per atom) = -4.842

abc: 2.619 3.768 10.953
angles: 90.00 90.00 90.00
Fractional positions:
V1 0.250 0.250 0.164
V2 0.750 0.750 0.836
Cd1 0.250 0.750 0.602
Cd2 0.750 0.250 0.398
Ni1 0.250 0.750 0.046
Ni2 0.750 0.250 0.954

=====

Record 11
Here is a relaxed Mg4CuP crystal from Alexandria via LeMat-Bulk. Energies are from GGA-PBE.

Output
- DFT formation energy (eV per atom) = 0.386
- V (Å³/cell) = 121.9
- VASP energy (eV per atom) = -2.261

abc: 5.565 5.565 5.565
angles: 60.00 60.00 60.00
Fractional positions:
Mg1 0.125 0.125 0.125
Mg2 0.125 0.125 0.626
Mg3 0.125 0.626 0.125
Mg4 0.626 0.125 0.125
Cu1 0.500 0.500 0.500
P1 0.750 0.750 0.750

=====

Record 12
Here is a relaxed MgTl2I2Br2 crystal from Alexandria via LeMat-Bulk. Energies are from GGA-PBE.

Output
- V (Å³/cell) = 251.7
- uncorrected formation energy (eV per atom) = -0.957
- VASP energy (eV per atom) = -2.782

abc: 9.752 9.752 9.752
angles: 148.55 148.55 45.08
Fractional positions:
Mg1 0.000 0.000 0.000
Tl1 0.361 0.361 0.000
Tl2 0.639 0.639 0.000
I1 0.165 0.165 0.000
I2 0.835 0.835 0.000
Br1 0.000 0.500 0.500
Br2 0.500 0.000 0.500

=====

Record 13
Here is a relaxed Pm7AgRh4 crystal from Alexandria via LeMat-Bulk. Energies are from GGA-PBE.

Output
- DFT formation energy (eV per atom) = -0.386
- V (Å³/cell) = 309.4
- VASP energy (eV per atom) = -5.845

abc: 7.444 7.444 9.791
angles: 122.17 122.17 44.17
Fractional positions:
Pm1 0.000 0.000 0.000
Pm2 0.176 0.176 0.625
Pm3 0.294 0.294 0.119
Pm4 0.422 0.422 0.631
Pm5 0.578 0.578 0.369
Pm6 0.706 0.706 0.881
Pm7 0.824 0.824 0.375
Ag1 0.500 0.500 0.000
Rh1 0.067 0.067 0.779
Rh2 0.205 0.205 0.340
Rh3 0.795 0.795 0.660
Rh4 0.933 0.933 0.221

=====

Record 14
Here is a relaxed AlPbAu4 crystal from Alexandria via LeMat-Bulk. Energies are from GGA-PBE.

Output
- DFT formation energy (eV per atom) = -0.122
- V (Å³/cell) = 133.0
- VASP energy (eV per atom) = -3.548

abc: 4.029 4.029 8.194
angles: 90.00 90.00 90.00
Fractional positions:
Al1 0.000 0.000 0.000
Pb1 0.500 0.500 0.500
Au1 0.000 0.500 0.207
Au2 0.000 0.500 0.793
Au3 0.500 0.000 0.207
Au4 0.500 0.000 0.793

=====

Record 15
Here is a relaxed CeYZrN3 crystal from Alexandria via LeMat-Bulk. Energies are from GGA-PBE.

Output
- V (Å³/cell) = 175.0
- uncorrected formation energy (eV per atom) = -1.531
- VASP energy (eV per atom) = -9.185

abc: 5.890 3.423 8.890
angles: 90.00 102.52 90.00
Fractional positions:
Ce1 0.149 0.250 0.189
Ce2 0.851 0.750 0.811
Y1 0.269 0.750 0.547
Y2 0.731 0.250 0.453
Zr1 0.364 0.250 0.862
Zr2 0.636 0.750 0.138
N1 0.054 0.250 0.675
N2 0.252 0.750 0.990
N3 0.452 0.750 0.333
N4 0.548 0.250 0.667
N5 0.748 0.250 0.010
N6 0.946 0.750 0.325

=====

Record 16
Here is a relaxed H2RhW2 crystal from Alexandria via LeMat-Bulk. Energies are from GGA-PBE.

Output
- V (Å³/cell) = 51.6
- VASP energy (eV per atom) = -7.820

abc: 6.464 6.464 6.464
angles: 154.05 154.05 37.02
Fractional positions:
H1 0.250 0.750 0.500
H2 0.750 0.250 0.500
Rh1 0.000 0.000 0.000
W1 0.349 0.349 0.000
W2 0.651 0.651 0.000

=====

Record 17
Here is a relaxed Dy3NbAl8 crystal from Alexandria via LeMat-Bulk. Energies are from GGA-PBE.

Output
- DFT formation energy (eV per atom) = -0.439
- V (Å³/cell) = 229.0
- VASP energy (eV per atom) = -4.924

abc: 9.457 9.457 9.457
angles: 33.46 33.46 33.46
Fractional positions:
Dy1 0.000 0.000 0.000
Dy2 0.126 0.126 0.126
Dy3 0.623 0.623 0.623
Nb1 0.500 0.500 0.500
Al1 0.060 0.060 0.559
Al2 0.060 0.559 0.060
Al3 0.067 0.564 0.564
Al4 0.312 0.312 0.312
Al5 0.559 0.060 0.060
Al6 0.564 0.067 0.564
Al7 0.564 0.564 0.067
Al8 0.813 0.813 0.813

=====

Record 18
Here is a relaxed TbCe3Ho2Te6 crystal from Alexandria via LeMat-Bulk. Energies are from GGA-PBE.

Output
- V (Å³/cell) = 366.0
- uncorrected formation energy (eV per atom) = -1.331
- VASP energy (eV per atom) = -5.534

abc: 7.585 7.585 7.776
angles: 99.34 99.34 120.11
Fractional positions:
Tb1 0.000 0.000 0.000
Ce1 0.165 0.835 0.500
Ce2 0.500 0.500 0.500
Ce3 0.835 0.165 0.500
Ho1 0.333 0.667 0.000
Ho2 0.667 0.333 0.000
Te1 0.080 0.415 0.239
Te2 0.256 0.256 0.763
Te3 0.415 0.080 0.239
Te4 0.585 0.920 0.761
Te5 0.744 0.744 0.237
Te6 0.920 0.585 0.761

=====

Record 19
Here is a relaxed Tb3ScCd2 crystal from Alexandria via LeMat-Bulk. Energies are from GGA-PBE.

Output
- DFT formation energy (eV per atom) = -0.181
- V (Å³/cell) = 163.2
- VASP energy (eV per atom) = -3.856

abc: 3.667 3.667 12.141
angles: 90.00 90.00 90.00
Fractional positions:
Tb1 0.000 0.000 0.000
Tb2 0.000 0.000 0.325
Tb3 0.000 0.000 0.675
Sc1 0.500 0.500 0.500
Cd1 0.500 0.500 0.163
Cd2 0.500 0.500 0.837

=====

Record 20
Here is a relaxed NaSeIN2 crystal from Alexandria via LeMat-Bulk. Energies are from GGA-PBE.

Output
- V (Å³/cell) = 121.2
- uncorrected formation energy (eV per atom) = 1.079
- VASP energy (eV per atom) = -3.522

abc: 3.949 3.949 7.770
angles: 90.00 90.00 90.00
Fractional positions:
Na1 0.000 0.000 0.000
Se1 0.500 0.500 0.500
I1 0.500 0.500 0.000
N1 0.000 0.500 0.500
N2 0.500 0.000 0.500

=====

Record 21
Here is a relaxed BeNb2Tl crystal from Alexandria via LeMat-Bulk. Energies are from GGA-PBE.

Output
- DFT formation energy (eV per atom) = 0.547
- V (Å³/cell) = 69.8
- VASP energy (eV per atom) = -6.011

abc: 4.622 4.622 4.622
angles: 60.00 60.00 60.00
Fractional positions:
Be1 0.000 0.000 0.000
Nb1 0.250 0.250 0.250
Nb2 0.750 0.750 0.750
Tl1 0.500 0.500 0.500

=====

Record 22
Here is a relaxed Pm2ErIn crystal from Alexandria via LeMat-Bulk. Energies are from GGA-PBE.

Output
- DFT formation energy (eV per atom) = -0.121
- V (Å³/cell) = 127.0
- VASP energy (eV per atom) = -4.322

abc: 11.176 11.176 11.176
angles: 18.82 18.82 18.82
Fractional positions:
Pm1 0.000 0.000 0.000
Pm2 0.175 0.175 0.175
Er1 0.421 0.421 0.421
In1 0.587 0.587 0.587

=====

Record 23
Here is a relaxed ReTcW2 crystal from Alexandria via LeMat-Bulk. Energies are from GGA-PBE.

Output
- DFT formation energy (eV per atom) = 0.082
- V (Å³/cell) = 62.0
- VASP energy (eV per atom) = -12.098

abc: 3.141 3.141 6.287
angles: 90.00 90.00 90.00
Fractional positions:
Re1 0.000 0.000 0.000
Tc1 0.000 0.000 0.500
W1 0.500 0.500 0.248
W2 0.500 0.500 0.752

=====

Record 24
Here is a relaxed In2TePd2 crystal from Alexandria via LeMat-Bulk. Energies are from GGA-PBE.

Output
- V (Å³/cell) = 207.8
- uncorrected formation energy (eV per atom) = -0.301
- VASP energy (eV per atom) = -4.102

abc: 7.681 7.681 3.522
angles: 90.00 90.00 90.00
Fractional positions:
In1 0.154 0.346 0.000
In2 0.346 0.846 0.000
In3 0.654 0.154 0.000
In4 0.846 0.654 0.000
Te1 0.000 0.000 0.500
Te2 0.500 0.500 0.500
Pd1 0.142 0.642 0.500
Pd2 0.358 0.142 0.500
Pd3 0.642 0.858 0.500
Pd4 0.858 0.358 0.500

=====

Record 25
Here is a relaxed PuScCdPb crystal from Alexandria via LeMat-Bulk. Energies are from GGA-PBE.

Output
- DFT formation energy (eV per atom) = -0.167
- V (Å³/cell) = 102.8
- VASP energy (eV per atom) = -6.489

abc: 5.258 5.258 5.258
angles: 60.00 60.00 60.00
Fractional positions:
Pu1 0.000 0.000 0.000
Sc1 0.500 0.500 0.500
Cd1 0.750 0.750 0.750
Pb1 0.250 0.250 0.250